# 1
Material: Th5InTe4
Method: DFT, GGA-PBE
State: relaxed

Cell: 3.809 3.809 19.847 Å, 90.00 90.00 90.00°
Element x y z (fractional)
Th 0.500 0.500 0.304
Te 0.000 0.000 0.402
Th 0.500 0.500 0.500
Te 0.000 0.000 0.207
In 0.000 0.000 0.000
Th 0.500 0.500 0.696
Te 0.000 0.000 0.793
Te 0.000 0.000 0.598
Th 0.500 0.500 0.894
Th 0.500 0.500 0.106

* E_form (uncorrected): -0.907 eV per atom
* V: 287.9 Å³/f.u.



# 2
Material: Sc2TlZn2
Method: DFT, GGA-PBE
State: relaxed

Cell: 3.515 3.515 9.112 Å, 78.88 78.88 90.00°
Element x y z (fractional)
Sc 0.389 0.389 0.221
Sc 0.611 0.611 0.779
Zn 0.750 0.250 0.500
Zn 0.250 0.750 0.500
Tl 0.000 0.000 0.000

* DFT formation energy: -50 meV/atom
* V: 108.3 Å³/f.u.



# 3
Material: Sr2RhPb
Method: DFT, GGA-PBE
State: relaxed

Cell: 4.329 5.005 6.358 Å, 66.77 90.00 90.00°
Element x y z (fractional)
Rh 0.500 0.546 0.785
Sr 0.500 0.280 0.315
Sr 0.000 0.989 0.897
Pb 0.000 0.686 0.503

* DFT formation energy: -352 meV/atom
* V: 126.6 Å³/f.u.



# 4
Material: TaTc2Sb
Method: DFT, GGA-PBE
State: relaxed

Cell: 3.312 4.871 4.211 Å, 90.00 90.00 90.00°
Element x y z (fractional)
Tc 0.000 0.000 0.000
Ta 0.000 0.500 0.500
Sb 0.500 0.000 0.500
Tc 0.500 0.500 0.000

* E_form (uncorrected): 0.193 eV per atom
* V: 67.9 Å³/f.u.



# 5
Material: Sr3PuP3
Method: DFT, GGA-PBE
State: relaxed

Cell: 7.785 7.785 7.783 Å, 92.52 92.52 113.43°
Element x y z (fractional)
Sr 0.230 0.770 0.000
P 0.169 0.494 0.290
Sr 0.171 0.829 0.500
Pu 0.220 0.220 0.116
Sr 0.770 0.230 0.000
Sr 0.623 0.623 0.356
Sr 0.377 0.377 0.644
P 0.927 0.927 0.212
P 0.494 0.169 0.290
Pu 0.780 0.780 0.884
Sr 0.829 0.171 0.500
P 0.831 0.506 0.710
P 0.506 0.831 0.710
P 0.073 0.073 0.788

* DFT formation energy: -909 meV/atom
* V: 215.7 Å³/f.u.



# 6
Material: VOs2Pt
Method: DFT, GGA-PBE
State: relaxed

Cell: 4.356 4.356 4.356 Å, 60.00 60.00 60.00°
Element x y z (fractional)
Os 0.250 0.250 0.250
Pt 0.500 0.500 0.500
Os 0.750 0.750 0.750
V 0.000 0.000 0.000

* DFT formation energy: 213 meV/atom
* V: 58.4 Å³/f.u.



| no. | raw total energy (eV per atom) |
| --- | --- |
| 1 | -6.1471 |
| 2 | -3.5656 |
| 3 | -3.9584 |
| 4 | -8.9842 |
| 5 | -5.9959 |
| 6 | -9.1921 |